Run i
TlIn2Pb5 | Alexandria | PBE | relaxed; crystal system = tetragonal; Fermi-level density of states = 0.49 states/eV per atom; spin magnetization = 0.00 Bohr magnetons per cell
1.0
6.5280 -0.3338 -2.0278
-3.6203 5.4418 -2.0295
0.1859 0.3289 6.8334
In Pb Tl
2 5 1
Direct
0.7776 0.2779 0.5000
0.2776 0.7779 0.5000
0.2782 0.7776 0.0000
0.2777 0.2774 0.0000
0.7778 0.2780 0.0000
0.7776 0.7778 0.4996
0.2780 0.2782 0.5004
0.7784 0.7781 0.0000

Run ii
TlIn2Pb5 | Alexandria | PBE | relaxed; crystal system = tetragonal; Fermi-level density of states = 0.56 states/eV per atom; spin magnetization = 0.00 Bohr magnetons per cell
1.0
8.4146 0.0000 0.0000
0.0000 8.4146 0.0000
-4.2073 -4.2073 6.9537
Pb Tl In
10 2 4
Direct
0.3072 0.8072 0.3204
0.4868 0.6928 0.6796
0.8072 0.0132 0.3204
0.6928 0.1928 0.6796
0.1928 0.9868 0.6796
0.5132 0.3072 0.3204
0.9868 0.4868 0.6796
0.0000 0.0000 0.0000
0.5000 0.5000 0.0000
0.0132 0.5132 0.3204
0.7500 0.7500 0.5000
0.2500 0.2500 0.5000
0.6440 0.1440 0.0000
0.8560 0.6440 0.0000
0.3560 0.8560 0.0000
0.1440 0.3560 0.0000

Relative to the most stable one, in eV/atom, the structures come out at run i 0.000; run ii 0.018.

Run i
Tl2In3Pb | Alexandria | PBE | relaxed; crystal system = orthorhombic; Fermi-level density of states = 0.35 states/eV per atom; spin magnetization = 0.00 Bohr magnetons per cell
1.0
-3.7467 2.6521 -3.5877
0.9102 -4.7489 -4.4611
-7.0864 -4.9044 3.7750
In Tl Pb
6 4 2
Direct
0.5000 0.0000 0.0000
0.0000 0.0000 0.0000
0.7500 0.7458 0.2640
0.2500 0.2542 0.7360
0.2500 0.7458 0.7360
0.7500 0.2542 0.2640
0.7500 0.5000 0.9279
0.2500 0.5000 0.0721
0.7500 0.0000 0.6434
0.2500 0.0000 0.3566
0.2500 0.5000 0.4160
0.7500 0.5000 0.5840

Run ii
Tl2In3Pb | Alexandria | PBE | relaxed; crystal system = tetragonal; Fermi-level density of states = 0.51 states/eV per atom; spin magnetization = 0.00 Bohr magnetons per cell
1.0
-2.1964 -0.9065 2.3720
2.5281 -1.0746 1.9303
1.1093 14.2115 6.4586
In Tl Pb
3 2 1
Direct
0.0000 0.0000 0.0000
0.0000 0.0000 0.6662
0.0000 0.0000 0.3338
0.5000 0.5000 0.8363
0.5000 0.5000 0.1637
0.5000 0.5000 0.5000

Relative to the most stable one, in eV/atom, the structures come out at run i 0.030; run ii 0.000.

Run i
TlIn4Pb8 | Alexandria | PBE | relaxed; crystal system = cubic; Fermi-level density of states = 0.53 states/eV per atom; spin magnetization = 0.00 Bohr magnetons per cell
1.0
-3.3650 5.8011 5.3906
-3.3150 -2.5342 7.5249
4.0534 1.9054 7.3468
In Pb Tl
4 8 1
Direct
0.3484 0.9547 0.3484
0.9547 0.3484 0.3484
0.3484 0.3484 0.9547
0.3484 0.3484 0.3484
0.7032 0.0989 0.0989
0.0989 0.0989 0.0989
0.6014 0.6014 0.6014
0.1958 0.6014 0.6014
0.0989 0.0989 0.7032
0.0989 0.7032 0.0989
0.6014 0.6014 0.1958
0.6014 0.1958 0.6014
0.7500 0.7500 0.7500

Run ii
TlIn4Pb8 | Alexandria | PBE | relaxed; crystal system = triclinic; Fermi-level density of states = 0.45 states/eV per atom; spin magnetization = 0.00 Bohr magnetons per cell
1.0
0.1718 4.8255 0.7726
-0.6932 0.8788 9.2378
8.9657 1.8945 1.2952
Pb In Tl
8 4 1
Direct
0.9230 0.6966 0.4629
0.6966 0.7663 0.8437
0.5375 0.1550 0.7681
0.0770 0.3034 0.5371
0.3034 0.2337 0.1563
0.3822 0.5353 0.6994
0.6178 0.4647 0.3006
0.4625 0.8450 0.2319
0.7655 0.0763 0.3870
0.1509 0.6164 0.0757
0.8491 0.3836 0.9243
0.2345 0.9237 0.6130
0.0000 0.0000 0.0000

Relative to the most stable one, in eV/atom, the structures come out at run i 0.191; run ii 0.000.

Run i
Tl5In2Pb2 | Alexandria | PBE | relaxed; crystal system = trigonal; Fermi-level density of states = 0.42 states/eV per atom; spin magnetization = 0.00 Bohr magnetons per cell
1.0
3.5501 0.0000 0.0000
-1.7751 3.0745 0.0000
0.0000 0.0000 25.4127
Tl In Pb
5 2 2
Direct
0.3333 0.6667 0.2792
0.3333 0.6667 0.9449
0.6667 0.3333 0.0551
0.0000 0.0000 0.5000
0.6667 0.3333 0.7208
0.6667 0.3333 0.8410
0.3333 0.6667 0.1590
0.6667 0.3333 0.3874
0.3333 0.6667 0.6126

Run ii
Tl5In2Pb2 | Alexandria | PBE | relaxed; crystal system = monoclinic; Fermi-level density of states = 0.47 states/eV per atom; spin magnetization = 0.00 Bohr magnetons per cell
1.0
5.1815 -0.0002 1.9235
1.8442 5.3959 2.9722
-0.6480 0.4624 9.6860
Pb Tl In
2 5 2
Direct
0.2244 0.8823 0.6689
0.7756 0.1177 0.3311
0.8892 0.5536 0.6680
0.0000 0.0000 0.0000
0.4470 0.7839 0.3220
0.1108 0.4464 0.3320
0.5530 0.2161 0.6780
0.6738 0.6541 0.9984
0.3262 0.3459 0.0016

Relative to the most stable one, in eV/atom, the structures come out at run i 0.011; run ii 0.000.